1.
A relaxed structure of TlCuP, computed with PBE.

Formation energy from the elements in meV per atom: 15
Crystal system: tetragonal
Excess energy over the best structure of this formula in the dataset in meV per atom: 0
D(E_F) in states/eV per atom: 0.478

Unit cell a=3.8430 b=3.8430 c=8.6441 alpha=90.00 beta=90.00 gamma=90.00
Space group P4/nmm (No. 129, origin choice 2)
Asymmetric unit:
1 Tl 0.2500 0.2500 0.1634 (multiplicity 2)
2 Cu 0.2500 0.7500 0.5000 (multiplicity 2)
3 P 0.2500 0.2500 0.6615 (multiplicity 2)

***

2.
A relaxed structure of TlCu2P, computed with PBE.

Formation energy from the elements in meV per atom: 444
Crystal system: tetragonal
D(E_F) in states/eV per atom: 0.377

Unit cell a=3.9051 b=3.9051 c=8.6727 alpha=90.00 beta=90.00 gamma=90.00
Space group I-4m2 (No. 119)
Asymmetric unit:
1 Tl 0.0000 0.0000 0.0000 (multiplicity 2)
2 Cu 0.0000 0.0000 0.5000 (multiplicity 2)
3 Cu 0.0000 0.5000 0.7500 (multiplicity 2)
4 P 0.0000 0.5000 0.2500 (multiplicity 2)